This record from Alexandria describes a geometry-optimized SbMoI2F structure. The functional is PBE with a Hubbard U.

Values from the calculation:
magnetization	4.575	μB/f.u.
E_tot	-3.169	eV/atom
energy above the most stable polymorph in this dataset	0.0	meV/atom

Lattice parameters (Å, degrees): 6.000 6.000 4.227 90.00 90.00 90.00
Space group P4/mmm (No. 123)
Symmetry-distinct sites (fractional):
Sb 0.000 0.000 0.000
Mo 0.500 0.500 0.000
I 0.000 0.500 0.500
F 0.000 0.000 0.500